# 1
ZrScAl2 | meta-GGA SCAN | single point on PBEsol structure

As for the energy relative to the lowest polymorph listed for this composition: 43 meV/atom. Its energy of formation is -163 kJ/mol of formula units.

The space group is Imm2 (No. 44) and the conventional cell measures 3.5281, 4.5023 and 9.6227 Å, with angles of 90.00, 90.00 and 90.00 degrees. The distinct sites, in fractional coordinates, are Zr at (0.0000, 0.0000, 0.0000), Sc at (0.0000, 0.5000, 0.2373), Al at (0.0000, 0.0000, 0.4750) and Al at (0.0000, 0.5000, 0.7623).

# 2
Zn5Os | meta-GGA SCAN | single point on PBEsol structure

As for the energy relative to the lowest polymorph listed for this composition: 3 meV/atom. Its energy of formation is 35 kJ/mol of formula units.

The space group is Amm2 (No. 38) and the conventional cell measures 4.4485, 2.6372 and 14.0479 Å, with angles of 90.00, 90.00 and 90.00 degrees. The distinct sites, in fractional coordinates, are Zn at (0.0000, 0.0000, 0.0000), Zn at (0.0000, 0.0000, 0.3313), Zn at (0.0000, 0.0000, 0.6657), Zn at (0.5000, 0.0000, 0.1101), Zn at (0.5000, 0.0000, 0.4406) and Os at (0.5000, 0.0000, 0.7736).

# 3
BaAgP | meta-GGA SCAN | single point on PBEsol structure

Its energy of formation is -244 kJ/mol of formula units.

The space group is P6_3/mmc (No. 194) and the conventional cell measures 4.4324, 4.4324 and 8.9063 Å, with angles of 90.00, 90.00 and 120.00 degrees. The distinct sites, in fractional coordinates, are Ba at (0.0000, 0.0000, 0.0000), Ag at (0.3333, 0.6667, 0.2500) and P at (0.3333, 0.6667, 0.7500).

# 4
KLiAl | meta-GGA SCAN | single point on PBEsol structure

Its energy of formation is 52 kJ/mol of formula units.

The space group is Imm2 (No. 44) and the conventional cell measures 3.0150, 4.5351 and 12.1418 Å, with angles of 90.00, 90.00 and 90.00 degrees. The distinct sites, in fractional coordinates, are K at (0.0000, 0.0000, 0.0000), Li at (0.0000, 0.0000, 0.7331) and Al at (0.0000, 0.0000, 0.2900).

# 5
Hg7P4Br6 | meta-GGA SCAN | single point on PBEsol structure

The uncorrected formation energy is -0.326 eV per atom.

The space group is P2_1/c (No. 14) and the conventional cell measures 6.0373, 19.7641 and 7.5886 Å, with angles of 90.00, 104.60 and 90.00 degrees. The distinct sites, in fractional coordinates, are Hg at (0.0000, 0.0000, 0.0000), Hg at (0.0918, 0.2294, 0.2008), Hg at (0.2291, 0.5906, 0.9922), Hg at (0.4980, 0.6354, 0.5757), P at (0.1215, 0.1781, 0.9178), P at (0.1497, 0.6025, 0.6642), Br at (0.1942, 0.1111, 0.4321), Br at (0.3623, 0.7119, 0.2027) and Br at (0.4019, 0.5202, 0.2818).

# 6
Rb3As11 | meta-GGA SCAN | single point on PBEsol structure

Its energy of formation is -465 kJ/mol of formula units.

The space group is Pbcn (No. 60) and the conventional cell measures 11.0309, 15.5207 and 10.5413 Å, with angles of 90.00, 90.00 and 90.00 degrees. The distinct sites, in fractional coordinates, are Rb at (0.0000, 0.1910, 0.2500), Rb at (0.2149, 0.4791, 0.1059), As at (0.0000, 0.0335, 0.7500), As at (0.0470, 0.3490, 0.4848), As at (0.0682, 0.1350, 0.9071), As at (0.0780, 0.3772, 0.8332), As at (0.1236, 0.2142, 0.5631) and As at (0.1880, 0.2416, 0.7851).

# 7
Sr3BRh | meta-GGA SCAN | single point on PBEsol structure

Its energy of formation is 314 kJ/mol of formula units.

The space group is Pm-3m (No. 221) and the conventional cell measures 5.5489, 5.5489 and 5.5489 Å, with angles of 90.00, 90.00 and 90.00 degrees. The distinct sites, in fractional coordinates, are Sr at (0.0000, 0.0000, 0.5000), B at (0.5000, 0.5000, 0.5000) and Rh at (0.0000, 0.0000, 0.0000).

# 8
Ba2InPb | meta-GGA SCAN | single point on PBEsol structure

As for the energy relative to the lowest polymorph listed for this composition: 109 meV/atom. Its energy of formation is -233 kJ/mol of formula units.

The space group is Pmmm (No. 47) and the conventional cell measures 3.8143, 4.9423 and 7.6440 Å, with angles of 90.00, 90.00 and 90.00 degrees. The distinct sites, in fractional coordinates, are Ba at (0.0000, 0.0000, 0.2472), In at (0.5000, 0.5000, 0.5000) and Pb at (0.5000, 0.5000, 0.0000).

# 9
CuBiAsSe2 | meta-GGA SCAN | single point on PBEsol structure

The uncorrected formation energy is 1.142 eV per atom.

The space group is P4/mmm (No. 123) and the conventional cell measures 5.4177, 5.4177 and 5.3605 Å, with angles of 90.00, 90.00 and 90.00 degrees. The distinct sites, in fractional coordinates, are Cu at (0.0000, 0.0000, 0.0000), Bi at (0.5000, 0.5000, 0.5000), As at (0.5000, 0.5000, 0.0000) and Se at (0.0000, 0.5000, 0.5000).

# 10
LaCrIn2 | meta-GGA SCAN | single point on PBEsol structure

Its energy of formation is -115 kJ/mol of formula units.

The space group is P4/mmm (No. 123) and the conventional cell measures 3.4679, 3.4679 and 7.6643 Å, with angles of 90.00, 90.00 and 90.00 degrees. The distinct sites, in fractional coordinates, are La at (0.0000, 0.0000, 0.0000), Cr at (0.0000, 0.0000, 0.5000) and In at (0.5000, 0.5000, 0.2994).

# 11
ZrNi2P | meta-GGA SCAN | single point on PBEsol structure

Its energy of formation is -201 kJ/mol of formula units.

The space group is P4/mmm (No. 123) and the conventional cell measures 3.7086, 3.7086 and 3.8417 Å, with angles of 90.00, 90.00 and 90.00 degrees. The distinct sites, in fractional coordinates, are Zr at (0.0000, 0.0000, 0.0000), Ni at (0.0000, 0.5000, 0.5000) and P at (0.5000, 0.5000, 0.0000).

# 12
BaZnRu2 | meta-GGA SCAN | single point on PBEsol structure

Its energy of formation is 5 kJ/mol of formula units.

The space group is R3m (No. 160, hexagonal axes) and the conventional cell measures 4.3023, 4.3023 and 17.0278 Å, with angles of 90.00, 90.00 and 120.00 degrees. The distinct sites, in fractional coordinates, are Ba at (0.0000, 0.0000, 0.0000), Zn at (0.0000, 0.0000, 0.8126), Ru at (0.0000, 0.0000, 0.1868) and Ru at (0.0000, 0.0000, 0.5125).

# 13
In2CoAuF | meta-GGA SCAN | single point on PBEsol structure

The uncorrected formation energy is -0.037 eV per atom.

The space group is P4/mmm (No. 123) and the conventional cell measures 5.1651, 5.1651 and 4.7306 Å, with angles of 90.00, 90.00 and 90.00 degrees. The distinct sites, in fractional coordinates, are In at (0.0000, 0.5000, 0.0000), Co at (0.0000, 0.0000, 0.5000), Au at (0.0000, 0.0000, 0.0000) and F at (0.5000, 0.5000, 0.5000).

# 14
KBa | meta-GGA SCAN | single point on PBEsol structure

Its energy of formation is 20 kJ/mol of formula units.

The space group is P-6m2 (No. 187) and the conventional cell measures 4.4181, 4.4181 and 7.5769 Å, with angles of 90.00, 90.00 and 120.00 degrees. The distinct sites, in fractional coordinates, are K at (0.0000, 0.0000, 0.0000) and Ba at (0.6667, 0.3333, 0.5000).

# 15
NiAsRu | meta-GGA SCAN | single point on PBEsol structure

As for the energy relative to the lowest polymorph listed for this composition: 338 meV/atom. Its energy of formation is 26 kJ/mol of formula units.

The space group is Imm2 (No. 44) and the conventional cell measures 2.9052, 3.5806 and 7.5025 Å, with angles of 90.00, 90.00 and 90.00 degrees. The distinct sites, in fractional coordinates, are Ni at (0.0000, 0.0000, 0.0000), As at (0.0000, 0.0000, 0.3250) and Ru at (0.0000, 0.0000, 0.6578).

# 16
MgFe3F | meta-GGA SCAN | single point on PBEsol structure

The uncorrected formation energy is 1.354 eV per atom.

The space group is Pm-3m (No. 221) and the conventional cell measures 4.5161, 4.5161 and 4.5161 Å, with angles of 90.00, 90.00 and 90.00 degrees. The distinct sites, in fractional coordinates, are Mg at (0.0000, 0.0000, 0.0000), Fe at (0.0000, 0.0000, 0.5000) and F at (0.5000, 0.5000, 0.5000).

# 17
Be3HAu | meta-GGA SCAN | single point on PBEsol structure

The value obtained for the final energy is -0.63224 Ha/atom.

The space group is Pm-3m (No. 221) and the conventional cell measures 3.5157, 3.5157 and 3.5157 Å, with angles of 90.00, 90.00 and 90.00 degrees. The distinct sites, in fractional coordinates, are Be at (0.0000, 0.0000, 0.5000), H at (0.0000, 0.0000, 0.0000) and Au at (0.5000, 0.5000, 0.5000).

# 18
Li2CaTa2O7 | meta-GGA SCAN | single point on PBEsol structure

The uncorrected formation energy is -3.026 eV per atom. As for the energy relative to the lowest polymorph listed for this composition: 7 meV/atom.

The space group is Cmcm (No. 63) and the conventional cell measures 18.0547, 5.5083 and 5.5256 Å, with angles of 90.00, 90.00 and 90.00 degrees. The distinct sites, in fractional coordinates, are Li at (0.2368, 0.0000, 0.0000), Ca at (0.0000, 0.2503, 0.2500), Ta at (0.1124, 0.2540, 0.7500), O at (0.0000, 0.1677, 0.7500), O at (0.0837, 0.5000, 0.0000), O at (0.1193, 0.0000, 0.0000) and O at (0.2150, 0.3029, 0.7500).

# 19
CaHgSe2 | meta-GGA SCAN | single point on PBEsol structure

The uncorrected formation energy is -1.061 eV per atom.

The space group is R-3m (No. 166, hexagonal axes) and the conventional cell measures 4.1555, 4.1555 and 19.5294 Å, with angles of 90.00, 90.00 and 120.00 degrees. The distinct sites, in fractional coordinates, are Ca at (0.0000, 0.0000, 0.0000), Hg at (0.0000, 0.0000, 0.5000) and Se at (0.0000, 0.0000, 0.2467).

# 20
NaCu2Sb2 | meta-GGA SCAN | single point on PBEsol structure

The uncorrected formation energy is -0.142 eV per atom.

The space group is I4/mmm (No. 139) and the conventional cell measures 4.3367, 4.3367 and 11.2455 Å, with angles of 90.00, 90.00 and 90.00 degrees. The distinct sites, in fractional coordinates, are Na at (0.0000, 0.0000, 0.0000), Cu at (0.0000, 0.5000, 0.2500) and Sb at (0.0000, 0.0000, 0.3737).

# 21
Tl2NiW | meta-GGA SCAN | single point on PBEsol structure

As for the energy relative to the lowest polymorph listed for this composition: 417 meV/atom. Its energy of formation is 384 kJ/mol of formula units.

The space group is P2/m (No. 10) and the conventional cell measures 2.9277, 4.3548 and 5.6390 Å, with angles of 90.00, 95.57 and 90.00 degrees. The distinct sites, in fractional coordinates, are Tl at (0.1552, 0.0000, 0.2570), Ni at (0.0000, 0.5000, 0.5000) and W at (0.5000, 0.5000, 0.0000).

# 22
Ag4Se3 | meta-GGA SCAN | single point on PBEsol structure

The uncorrected formation energy is 0.014 eV per atom.

The space group is I4/mmm (No. 139) and the conventional cell measures 3.6400, 3.6400 and 22.2510 Å, with angles of 90.00, 90.00 and 90.00 degrees. The distinct sites, in fractional coordinates, are Ag at (0.0000, 0.0000, 0.0597), Ag at (0.0000, 0.0000, 0.3092), Se at (0.0000, 0.0000, 0.1746) and Se at (0.0000, 0.0000, 0.5000).

# 23
BeAlSe | meta-GGA SCAN | single point on PBEsol structure

The uncorrected formation energy is -0.058 eV per atom. As for the energy relative to the lowest polymorph listed for this composition: 0 meV/atom.

The space group is P3m1 (No. 156) and the conventional cell measures 3.4332, 3.4332 and 4.8093 Å, with angles of 90.00, 90.00 and 120.00 degrees. The distinct sites, in fractional coordinates, are Be at (0.0000, 0.0000, 0.0000), Al at (0.6667, 0.3333, 0.3489) and Se at (0.3333, 0.6667, 0.7698).

| no. | magnetic moment (μB per atom) |
| --- | --- |
| 1 | 0.0015 |
| 2 | 0.0000 |
| 3 | 0.0000 |
| 4 | 0.0000 |
| 5 | 0.0000 |
| 6 | 0.0000 |
| 7 | 0.4130 |
| 8 | 0.0002 |
| 9 | 0.3730 |
| 10 | 0.8890 |
| 11 | 0.0000 |
| 12 | 0.0000 |
| 13 | 0.5433 |
| 14 | 0.0426 |
| 15 | 0.4510 |
| 16 | 1.9479 |
| 17 | 0.0000 |
| 18 | 0.0000 |
| 19 | 0.0000 |
| 20 | 0.0000 |
| 21 | 0.0001 |
| 22 | 0.0000 |
| 23 | 0.0000 |